1.
A plane-wave DFT calculation with PBE-GGA was carried out for DyHoAlZn after structural relaxation.

a = 3.5598 Å, b = 3.5598 Å, c = 7.2265 Å
α = 90.00°, β = 90.00°, γ = 90.00°
Last column: nearest neighbours and their distance in Å.
Positions (direct):
Dy 0.0000 0.0000 0.0000  4 Zn 3.09, 4 Al 3.12
Ho 0.0000 0.0000 0.5095  4 Zn 3.07, 4 Al 3.11
Al 0.5000 0.5000 0.2562  4 Ho 3.11, 4 Dy 3.12
Zn 0.5000 0.5000 0.7520  4 Ho 3.07, 4 Dy 3.09

Results
Energy above the most stable polymorph in this dataset   0.0000 eV/atom
ΔE_f   -1.53 eV/f.u.

***

2.
A plane-wave DFT calculation with PBE-GGA was carried out for TiSiPt after structural relaxation.

a = 6.3659 Å, b = 3.8131 Å, c = 7.3963 Å
α = 90.00°, β = 90.00°, γ = 90.00°
Last column: nearest neighbours and their distance in Å.
Positions (direct):
Ti 0.0276 0.2500 0.1745  5 Si 2.65-2.78, 4 Pt 2.92-2.93
Ti 0.4724 0.7500 0.6745  5 Si 2.65-2.78, 4 Pt 2.92-2.93
Ti 0.5276 0.2500 0.3255  5 Si 2.65-2.78, 4 Pt 2.92-2.93
Ti 0.9724 0.7500 0.8255  5 Si 2.65-2.78, 4 Pt 2.92-2.93
Si 0.2432 0.7500 0.3762  4 Pt 2.40-2.53, 3 Ti 2.65-2.66
Si 0.2568 0.2500 0.8762  4 Pt 2.40-2.53, 3 Ti 2.65-2.66
Si 0.7432 0.7500 0.1238  4 Pt 2.40-2.53, 3 Ti 2.65-2.66
Si 0.7568 0.2500 0.6238  4 Pt 2.40-2.53, 3 Ti 2.65-2.66
Pt 0.1488 0.2500 0.5652  4 Si 2.40-2.53
Pt 0.3512 0.7500 0.0652  4 Si 2.40-2.53
Pt 0.6488 0.2500 0.9348  4 Si 2.40-2.53
Pt 0.8512 0.7500 0.4348  4 Si 2.40-2.53

Results
E_form (uncorrected)   -1.018 eV/atom

***

3.
A plane-wave DFT calculation with PBE-GGA was carried out for PaNi5Ir after structural relaxation.

a = 7.7793 Å, b = 4.8242 Å, c = 10.0798 Å
α = 90.00°, β = 90.00°, γ = 90.00°
Last column: nearest neighbours and their distance in Å.
Positions (direct):
Pa 0.2367 0.2500 0.0610  6 Ni 2.74-2.99, 1 Ir 2.99
Pa 0.2633 0.7500 0.5610  6 Ni 2.74-2.99, 1 Ir 2.99
Pa 0.7367 0.2500 0.4390  6 Ni 2.74-2.99, 1 Ir 2.99
Pa 0.7633 0.7500 0.9390  6 Ni 2.74-2.99, 1 Ir 2.99
Ni 0.0602 0.7500 0.1017  4 Ni 2.38-2.52, 1 Ir 2.54
Ni 0.0706 0.0039 0.3154  7 Ni 2.37-2.48, 2 Ir 2.62-2.63
Ni 0.0706 0.4961 0.3154  7 Ni 2.37-2.48, 2 Ir 2.62-2.63
Ni 0.1057 0.2500 0.5212  5 Ni 2.41-2.47, 1 Ir 2.63
Ni 0.1813 0.2500 0.7527  7 Ni 2.37-2.52, 2 Ir 2.65
Ni 0.3187 0.7500 0.2527  7 Ni 2.37-2.52, 2 Ir 2.65
Ni 0.3943 0.7500 0.0212  5 Ni 2.41-2.47, 1 Ir 2.63
Ni 0.4294 0.5039 0.8154  7 Ni 2.37-2.48, 2 Ir 2.62-2.63
Ni 0.4294 0.9961 0.8154  7 Ni 2.37-2.48, 2 Ir 2.62-2.63
Ni 0.4398 0.2500 0.6017  4 Ni 2.38-2.52, 1 Ir 2.54
Ni 0.5602 0.7500 0.3983  4 Ni 2.38-2.52, 1 Ir 2.54
Ni 0.5706 0.0039 0.1846  7 Ni 2.37-2.48, 2 Ir 2.62-2.63
Ni 0.5706 0.4961 0.1846  7 Ni 2.37-2.48, 2 Ir 2.62-2.63
Ni 0.6057 0.2500 0.9788  5 Ni 2.41-2.47, 1 Ir 2.63
Ni 0.6813 0.2500 0.7473  7 Ni 2.37-2.52, 2 Ir 2.65
Ni 0.8187 0.7500 0.2473  7 Ni 2.37-2.52, 2 Ir 2.65
Ni 0.8943 0.7500 0.4788  5 Ni 2.41-2.47, 1 Ir 2.63
Ni 0.9294 0.5039 0.6846  7 Ni 2.37-2.48, 2 Ir 2.62-2.63
Ni 0.9294 0.9961 0.6846  7 Ni 2.37-2.48, 2 Ir 2.62-2.63
Ni 0.9398 0.2500 0.8983  4 Ni 2.38-2.52, 1 Ir 2.54
Ir 0.1322 0.7500 0.8557  8 Ni 2.54-2.65
Ir 0.3678 0.2500 0.3557  8 Ni 2.54-2.65
Ir 0.6322 0.7500 0.6443  8 Ni 2.54-2.65
Ir 0.8678 0.2500 0.1443  8 Ni 2.54-2.65

Results
ΔE_f   -2.16 eV/f.u.

***

4.
A plane-wave DFT calculation with PBE-GGA was carried out for Sm3Re3Si8 after structural relaxation.

a = 7.9870 Å, b = 7.9870 Å, c = 7.9870 Å
α = 149.59°, β = 103.83°, γ = 84.18°
Last column: nearest neighbours and their distance in Å.
Positions (direct):
Sm 0.0000 0.0000 0.0000  12 Si 3.16-3.20, 4 Re 3.40
Sm 0.3180 0.3180 0.0000  4 Re 3.01-3.12, 8 Si 3.03-3.04
Sm 0.6820 0.6820 0.0000  4 Re 3.01-3.12, 8 Si 3.03-3.04
Re 0.2713 0.5000 0.7713  6 Si 2.42-2.55
Re 0.5000 0.0000 0.5000  4 Si 2.51
Re 0.7287 0.5000 0.2287  6 Si 2.42-2.55
Si 0.0362 0.6675 0.3687  1 Re 2.42, 4 Si 2.59-2.68
Si 0.1698 0.8790 0.2908  3 Re 2.51-2.55, 3 Si 2.62-2.68
Si 0.2988 0.6675 0.6313  1 Re 2.42, 4 Si 2.59-2.68
Si 0.4118 0.1210 0.2908  3 Re 2.51-2.55, 3 Si 2.62-2.68
Si 0.5882 0.8790 0.7092  3 Re 2.51-2.55, 3 Si 2.62-2.68
Si 0.7012 0.3325 0.3687  1 Re 2.42, 4 Si 2.59-2.68
Si 0.8302 0.1210 0.7092  3 Re 2.51-2.55, 3 Si 2.62-2.68
Si 0.9638 0.3325 0.6313  1 Re 2.42, 4 Si 2.59-2.68

Results
E_form (uncorrected)   -0.373 eV/atom

***

5.
A plane-wave DFT calculation with PBE-GGA was carried out for CdFeAg2 after structural relaxation.

a = 4.9533 Å, b = 4.9533 Å, c = 4.9533 Å
α = 130.35°, β = 130.35°, γ = 72.86°
Last column: nearest neighbours and their distance in Å.
Positions (direct):
Cd 0.0000 0.0000 0.0000  8 Ag 2.88, 4 Fe 2.94
Fe 0.5000 0.5000 0.0000  8 Ag 2.88, 4 Cd 2.94
Ag 0.2500 0.7500 0.5000  4 Cd 2.88, 4 Fe 2.88, 4 Ag 2.94
Ag 0.7500 0.2500 0.5000  4 Cd 2.88, 4 Fe 2.88, 4 Ag 2.94

Results
ΔE_f   1.13 eV/f.u.

***

6.
A plane-wave DFT calculation with PBE-GGA was carried out for Ba2YGaTe5 after structural relaxation.

a = 10.5547 Å, b = 10.5547 Å, c = 14.2416 Å
α = 90.00°, β = 90.00°, γ = 155.32°
Last column: nearest neighbours and their distance in Å.
Positions (direct):
Ba 0.1220 0.8780 0.5000  7 Te 3.46-3.72
Ba 0.1254 0.8746 0.1365  6 Te 3.48-3.54
Ba 0.8746 0.1254 0.6365  6 Te 3.48-3.54
Ba 0.8780 0.1220 0.0000  7 Te 3.46-3.72
Y 0.2056 0.7944 0.8379  6 Te 3.01-3.25
Y 0.7944 0.2056 0.3379  6 Te 3.01-3.25
Ga 0.4379 0.5621 0.2434  4 Te 2.61-2.75
Ga 0.5621 0.4379 0.7434  4 Te 2.61-2.75
Te 0.0483 0.9517 0.8527  2 Ga 2.75
Te 0.2954 0.7046 0.4830  2 Y 3.06
Te 0.3122 0.6878 0.1842  1 Ga 2.73
Te 0.3510 0.6490 0.8196  1 Y 3.01
Te 0.4996 0.5004 0.0830  1 Ga 2.61
Te 0.5004 0.4996 0.5830  1 Ga 2.61
Te 0.6490 0.3510 0.3196  1 Y 3.01
Te 0.6878 0.3122 0.6842  1 Ga 2.73
Te 0.7046 0.2954 0.9830  2 Y 3.06
Te 0.9517 0.0483 0.3527  2 Ga 2.75

Results
E_form (uncorrected)   -1.305 eV/atom

***

7.
A plane-wave DFT calculation with PBE-GGA was carried out for Rb2TiTl2O6 after structural relaxation.

a = 5.7439 Å, b = 5.7439 Å, c = 6.9278 Å
α = 98.60°, β = 98.60°, γ = 118.98°
Last column: nearest neighbours and their distance in Å.
Positions (direct):
Rb 0.1704 0.8296 0.0000  6 O 2.86-3.02
Rb 0.8296 0.1704 0.0000  6 O 2.86-3.02
Ti 0.0000 0.0000 0.5000  6 O 2.03-2.04
Tl 0.3344 0.6656 0.5000  6 O 2.31-2.37
Tl 0.6656 0.3344 0.5000  6 O 2.31-2.37
O 0.0541 0.3508 0.6701  1 Ti 2.03
O 0.2350 0.2350 0.3331  1 Ti 2.04
O 0.3508 0.0541 0.6701  1 Ti 2.03
O 0.6492 0.9459 0.3299  1 Ti 2.03
O 0.7650 0.7650 0.6669  1 Ti 2.04
O 0.9459 0.6492 0.3299  1 Ti 2.03

Results
E_form (uncorrected)   -1.494 eV/atom

***

8.
A plane-wave DFT calculation with PBE-GGA was carried out for Fe2RePb after structural relaxation.

a = 2.9887 Å, b = 2.9887 Å, c = 7.2183 Å
α = 90.00°, β = 90.00°, γ = 90.00°
Last column: nearest neighbours and their distance in Å.
Positions (direct):
Fe 0.0000 0.0000 0.0000  4 Fe 2.51, 4 Re 2.54
Fe 0.5000 0.5000 0.1876  4 Fe 2.51, 1 Re 2.76
Re 0.5000 0.5000 0.8053  5 Fe 2.54-2.76
Pb 0.0000 0.0000 0.4862  4 Pb 2.99, 4 Fe 3.02, 4 Re 3.13

Results
ΔE_f   2.22 eV/f.u.

***

9.
A plane-wave DFT calculation with PBE-GGA was carried out for MgCo2Ru after structural relaxation.

a = 2.6356 Å, b = 2.6356 Å, c = 8.4427 Å
α = 90.00°, β = 90.00°, γ = 111.44°
Last column: nearest neighbours and their distance in Å.
Positions (direct):
Mg 0.0000 0.0000 0.0000  4 Mg 2.64, 4 Co 2.64
Co 0.5000 0.5000 0.2585  2 Ru 2.52, 4 Co 2.64, 2 Mg 2.64
Co 0.5000 0.5000 0.7415  2 Ru 2.52, 4 Co 2.64, 2 Mg 2.64
Ru 0.0000 0.0000 0.5000  4 Co 2.52, 4 Ru 2.64

Results
ΔE_f   1.38 eV/f.u.

***

10.
A plane-wave DFT calculation with PBE-GGA was carried out for NiGe2P after structural relaxation.

a = 6.5441 Å, b = 6.5441 Å, c = 6.5441 Å
α = 129.99°, β = 129.99°, γ = 73.42°
Last column: nearest neighbours and their distance in Å.
Positions (direct):
Ni 0.0000 0.0000 0.0000  4 Ge 2.30
Ni 0.7500 0.2500 0.5000  4 Ge 2.30
Ge 0.1077 0.6250 0.9827  2 Ni 2.30, 2 P 2.41
Ge 0.3750 0.3577 0.4827  2 Ni 2.30, 2 P 2.41
Ge 0.6423 0.1250 0.0173  2 Ni 2.30, 2 P 2.41
Ge 0.8750 0.8923 0.5173  2 Ni 2.30, 2 P 2.41
P 0.2500 0.7500 0.5000  4 Ge 2.41
P 0.5000 0.5000 0.0000  4 Ge 2.41

Results
ΔE_f   0.37 eV/f.u.

***

11.
A plane-wave DFT calculation with PBE-GGA was carried out for TlCo2W after structural relaxation.

a = 4.7219 Å, b = 4.7219 Å, c = 4.6462 Å
α = 101.44°, β = 101.44°, γ = 36.08°
Last column: nearest neighbours and their distance in Å.
Positions (direct):
Tl 0.0000 0.0000 0.0000  7 Co 2.63-2.75, 2 Tl 2.92, 1 W 2.93
Co 0.4986 0.4986 0.4992  3 W 2.53-2.61, 2 Co 2.71, 4 Tl 2.74-2.75
Co 0.7552 0.7552 0.2285  2 W 2.46, 3 Tl 2.63-2.74, 2 Co 2.71
W 0.2324 0.2324 0.6425  5 Co 2.46-2.61

Results
Energy above the most stable polymorph in this dataset   0.2072 eV/atom
ΔE_f   2.24 eV/f.u.

***

12.
A plane-wave DFT calculation with PBE-GGA was carried out for Tm2MgSi2Ir5 after structural relaxation.

a = 9.7493 Å, b = 9.7493 Å, c = 3.4636 Å
α = 90.00°, β = 90.00°, γ = 90.00°
Last column: nearest neighbours and their distance in Å.
Positions (direct):
Tm 0.1744 0.3256 0.0000  3 Si 2.76-2.96, 6 Ir 2.96-3.07
Tm 0.3256 0.8256 0.0000  3 Si 2.76-2.96, 6 Ir 2.96-3.07
Tm 0.6744 0.1744 0.0000  3 Si 2.76-2.96, 6 Ir 2.96-3.07
Tm 0.8256 0.6744 0.0000  3 Si 2.76-2.96, 6 Ir 2.96-3.07
Mg 0.0000 0.0000 0.0000  8 Ir 2.79
Mg 0.5000 0.5000 0.0000  8 Ir 2.79
Si 0.1256 0.6256 0.0000  6 Ir 2.40-2.45
Si 0.3744 0.1256 0.0000  6 Ir 2.40-2.45
Si 0.6256 0.8744 0.0000  6 Ir 2.40-2.45
Si 0.8744 0.3744 0.0000  6 Ir 2.40-2.45
Ir 0.0000 0.5000 0.5000  4 Si 2.45
Ir 0.0681 0.7868 0.5000  2 Si 2.40
Ir 0.2132 0.0681 0.5000  2 Si 2.40
Ir 0.2868 0.5681 0.5000  2 Si 2.40
Ir 0.4319 0.2868 0.5000  2 Si 2.40
Ir 0.5000 0.0000 0.5000  4 Si 2.45
Ir 0.5681 0.7132 0.5000  2 Si 2.40
Ir 0.7132 0.4319 0.5000  2 Si 2.40
Ir 0.7868 0.9319 0.5000  2 Si 2.40
Ir 0.9319 0.2132 0.5000  2 Si 2.40

Results
E_form (uncorrected)   -0.858 eV/atom

***

13.
A plane-wave DFT calculation with PBE-GGA was carried out for YAg2Rh after structural relaxation.

a = 3.5624 Å, b = 3.5624 Å, c = 6.1105 Å
α = 90.00°, β = 90.00°, γ = 90.00°
Last column: nearest neighbours and their distance in Å.
Positions (direct):
Y 0.0000 0.0000 0.0000  4 Rh 2.87, 6 Ag 2.93-3.18
Ag 0.0000 0.0000 0.5210  4 Ag 2.86, 2 Y 2.93-3.18, 4 Rh 2.96
Ag 0.5000 0.5000 0.2990  4 Ag 2.86, 2 Rh 2.91-3.20, 4 Y 3.11
Rh 0.5000 0.5000 0.7760  4 Y 2.87, 6 Ag 2.91-3.20

Results
Energy above the most stable polymorph in this dataset   0.1069 eV/atom
ΔE_f   -1.16 eV/f.u.

***

14.
A plane-wave DFT calculation with PBE-GGA was carried out for ScGeNF after structural relaxation.

a = 3.2382 Å, b = 3.2382 Å, c = 7.5653 Å
α = 90.00°, β = 90.00°, γ = 120.00°
Last column: nearest neighbours and their distance in Å.
Positions (direct):
Sc 0.0000 0.0000 0.0000  3 N 2.10, 3 F 2.22
Ge 0.6667 0.3333 0.3761  1 N 1.88
N 0.6667 0.3333 0.1270  1 Ge 1.88, 3 Sc 2.10
F 0.3333 0.6667 0.8409  3 Sc 2.22

Results
Energy above the most stable polymorph in this dataset   0.0000 eV/atom
E_form (uncorrected)   -1.768 eV/atom

***

15.
A plane-wave DFT calculation with PBE-GGA was carried out for ZrRuPt3 after structural relaxation.

a = 4.7650 Å, b = 4.7650 Å, c = 4.7650 Å
α = 90.00°, β = 90.00°, γ = 90.00°
Last column: nearest neighbours and their distance in Å.
Positions (direct):
Zr 0.0000 0.0000 0.0000  12 Pt 3.37
Ru 0.5000 0.5000 0.5000  6 Pt 2.38
Pt 0.0000 0.5000 0.5000  2 Ru 2.38
Pt 0.5000 0.0000 0.5000  2 Ru 2.38
Pt 0.5000 0.5000 0.0000  2 Ru 2.38

Results
Energy above the most stable polymorph in this dataset   0.0000 eV/atom
ΔE_f   4.28 eV/f.u.

***

16.
A plane-wave DFT calculation with PBE-GGA was carried out for LaGaAgPb after structural relaxation.

a = 5.2170 Å, b = 5.2170 Å, c = 5.2170 Å
α = 60.00°, β = 60.00°, γ = 60.00°
Last column: nearest neighbours and their distance in Å.
Positions (direct):
La 0.0000 0.0000 0.0000  4 Ga 3.19, 4 Ag 3.19
Ga 0.7500 0.7500 0.7500  4 La 3.19, 4 Pb 3.19
Ag 0.2500 0.2500 0.2500  4 Pb 3.19, 4 La 3.19
Pb 0.5000 0.5000 0.5000  4 Ga 3.19, 4 Ag 3.19

Results
ΔE_f   -1.23 eV/f.u.

***

17.
A plane-wave DFT calculation with PBE-GGA was carried out for LiRh2IO6 after structural relaxation.

a = 5.5075 Å, b = 5.5075 Å, c = 5.5075 Å
α = 59.37°, β = 59.37°, γ = 59.37°
Last column: nearest neighbours and their distance in Å.
Positions (direct):
Li 0.0000 0.0000 0.0000  6 O 2.21-2.32
Rh 0.2815 0.2815 0.2815  6 O 2.05-2.09
Rh 0.7865 0.7865 0.7865  6 O 2.02-2.10
I 0.4959 0.4959 0.4959  6 O 2.10-2.16
O 0.1011 0.6517 0.4121  2 Rh 2.09-2.10, 1 I 2.10, 1 Li 2.21
O 0.1545 0.5661 0.9092  2 Rh 2.02-2.05, 1 I 2.16
O 0.4121 0.1011 0.6517  2 Rh 2.09-2.10, 1 I 2.10, 1 Li 2.21
O 0.5661 0.9092 0.1545  2 Rh 2.02-2.05, 1 I 2.16
O 0.6517 0.4121 0.1011  2 Rh 2.09-2.10, 1 I 2.10, 1 Li 2.21
O 0.9092 0.1545 0.5661  2 Rh 2.02-2.05, 1 I 2.16

Results
E_form (uncorrected)   -0.703 eV/atom

***

18.
A plane-wave DFT calculation with PBE-GGA was carried out for Rb2SrTc2O7 after structural relaxation.

a = 11.4221 Å, b = 11.4221 Å, c = 11.4221 Å
α = 159.84°, β = 159.84°, γ = 28.66°
Last column: nearest neighbours and their distance in Å.
Positions (direct):
Rb 0.1877 0.1877 0.0000  9 O 2.85-3.08
Rb 0.8123 0.8123 0.0000  9 O 2.85-3.08
Sr 0.0000 0.0000 0.0000  12 O 2.74-2.83
Tc 0.4105 0.4105 0.0000  6 O 1.85-2.00
Tc 0.5895 0.5895 0.0000  6 O 1.85-2.00
O 0.0844 0.5844 0.5000  2 Tc 2.00
O 0.3268 0.3268 0.0000  1 Tc 1.85
O 0.4156 0.9156 0.5000  2 Tc 2.00
O 0.5000 0.5000 0.0000  2 Tc 1.98
O 0.5844 0.0844 0.5000  2 Tc 2.00
O 0.6732 0.6732 0.0000  1 Tc 1.85
O 0.9156 0.4156 0.5000  2 Tc 2.00

Results
E_form (uncorrected)   -1.775 eV/atom

***

19.
A plane-wave DFT calculation with PBE-GGA was carried out for LiInRe2 after structural relaxation.

a = 2.7861 Å, b = 2.7861 Å, c = 9.4211 Å
α = 90.00°, β = 90.00°, γ = 114.64°
Last column: nearest neighbours and their distance in Å.
Positions (direct):
Li 0.0000 0.0000 0.0000  2 Re 2.74, 6 Li 2.79-3.01, 2 In 2.87
In 0.5000 0.5000 0.2588  6 In 2.79-3.01, 2 Li 2.87, 2 Re 2.98
Re 0.0000 0.0000 0.5314  6 Re 2.60-2.79
Re 0.5000 0.5000 0.7565  6 Re 2.60-2.79, 2 Li 2.74

Results
ΔE_f   1.35 eV/f.u.

***

20.
A plane-wave DFT calculation with PBE-GGA was carried out for Rb2LiCd5 after structural relaxation.

a = 6.6402 Å, b = 6.6402 Å, c = 7.9333 Å
α = 114.54°, β = 114.54°, γ = 90.31°
Last column: nearest neighbours and their distance in Å.
Positions (direct):
Rb 0.2491 0.7509 0.0000  2 Li 3.61, 10 Cd 3.67-4.02
Rb 0.7509 0.2491 0.0000  2 Li 3.61, 10 Cd 3.67-4.02
Li 0.1402 0.1402 0.7780  5 Cd 2.84-3.00
Cd 0.2446 0.2446 0.5074  1 Li 2.84, 1 Cd 2.95
Cd 0.2450 0.7641 0.5071  1 Li 2.85, 3 Cd 2.96-3.19
Cd 0.3736 0.3736 0.2458  4 Cd 2.95-2.96, 1 Li 3.00
Cd 0.7641 0.2450 0.5071  1 Li 2.85, 3 Cd 2.96-3.19
Cd 0.7642 0.7642 0.5058  1 Li 2.85, 3 Cd 2.96-3.19

Results
ΔE_f   -0.09 eV/f.u.